Compound: Rb2AgPbF6
Source: OQMD via LeMat-Bulk
Functional: PBE-GGA
Structure: optimized geometry

Cell: 6.299 6.299 6.299 Å, 119.91 119.91 60.09°
Positions (direct):
1 Rb 0.250 0.250 0.250
2 Rb 0.750 0.750 0.750
3 Ag 0.000 0.000 0.500
4 Pb 0.500 0.500 0.000
5 F 0.247 0.247 0.747
6 F 0.247 0.752 0.252
7 F 0.248 0.753 0.748
8 F 0.752 0.247 0.252
9 F 0.753 0.248 0.748
10 F 0.753 0.753 0.253

Properties
- relative energy among the computed polymorphs (meV per atom) = 25
- symmetry = C2/m, No. 12